Here is a geometry-optimized RbBa2NaNi structure from the Alexandria database. Energies are from PBE-GGA.

Calculated values
energy relative to the elements: 0.1603 eV/atom
electronic total energy: -2.22 eV per atom
mass density: 3078 kg/m3
DOS(E_F): 4.27 states/eV/cell
space-group type: P4/mmm (123)
M_tot: 0.00 μB per formula unit
calculated volume: 238.4 Å³ per cell

The structure in CIF format:
```
data_RbBa2NaNi
_cell_length_a 6.072
_cell_length_b 6.072
_cell_length_c 6.466
_cell_angle_alpha 90.00
_cell_angle_beta 90.00
_cell_angle_gamma 90.00
_symmetry_space_group_name_H-M 'P 1'
_symmetry_Int_Tables_number 1
_symmetry_space_group_name_Hall 'P 1'
loop_
_atom_site_label
_atom_site_fract_x
_atom_site_fract_y
_atom_site_fract_z
Ni1 0.000 0.000 0.000
Ba1 0.000 0.500 0.000
Ba2 0.500 0.000 0.000
Rb1 0.500 0.500 0.500
Na1 0.000 0.000 0.500
```

---

Here is a geometry-optimized RbBa2NaNi structure from the Alexandria database. Energies are from PBE-GGA.

Calculated values
energy relative to the elements: 0.1746 eV/atom
electronic total energy: -2.21 eV per atom
mass density: 2918 kg/m3
DOS(E_F): 5.18 states/eV/cell
space-group type: P4/mmm (123)
M_tot: 0.00 μB per formula unit
calculated volume: 251.4 Å³ per cell

The structure in CIF format:
```
data_RbBa2NaNi
_cell_length_a 6.083
_cell_length_b 6.083
_cell_length_c 6.794
_cell_angle_alpha 90.00
_cell_angle_beta 90.00
_cell_angle_gamma 90.00
_symmetry_space_group_name_H-M 'P 1'
_symmetry_Int_Tables_number 1
_symmetry_space_group_name_Hall 'P 1'
loop_
_atom_site_label
_atom_site_fract_x
_atom_site_fract_y
_atom_site_fract_z
Ni1 0.000 0.000 0.000
Ba1 0.000 0.500 0.000
Ba2 0.500 0.000 0.000
Rb1 0.000 0.000 0.500
Na1 0.500 0.500 0.500
```

---

Here is a geometry-optimized Ba6Na2NiRh structure from the Alexandria database. Energies are from PBE-GGA.

Calculated values
energy relative to the elements: -0.0681 eV/atom
electronic total energy: -2.80 eV per atom
mass density: 3587 kg/m3
DOS(E_F): 7.29 states/eV/cell
space-group type: I4/mmm (139)
M_tot: 0.00 μB per formula unit
calculated volume: 477.5 Å³ per cell

The structure in CIF format:
```
data_Ba6Na2NiRh
_cell_length_a 8.770
_cell_length_b 8.770
_cell_length_c 8.779
_cell_angle_alpha 119.99
_cell_angle_beta 119.99
_cell_angle_gamma 90.00
_symmetry_space_group_name_H-M 'P 1'
_symmetry_Int_Tables_number 1
_symmetry_space_group_name_Hall 'P 1'
loop_
_atom_site_label
_atom_site_fract_x
_atom_site_fract_y
_atom_site_fract_z
Ba1 0.749 0.749 0.000
Ba2 0.749 0.749 0.497
Ba3 0.251 0.252 0.000
Ba4 0.749 0.252 0.000
Ba5 0.251 0.252 0.502
Ba6 0.251 0.749 0.000
Na1 0.750 0.250 0.500
Na2 0.250 0.750 0.500
Ni1 0.000 0.000 0.000
Rh1 0.500 0.501 0.000
```